# KTlCd2Ga (PBE-GGA, relaxed)
data_KTlCd2Ga
_chemical_formula_sum 'K1 Tl1 Cd2 Ga1'
_space_group_name_H-M_alt 'P 1'
_space_group_IT_number 1
_cell_length_a 5.391
_cell_length_b 5.391
_cell_length_c 5.745
_cell_angle_alpha 90.00
_cell_angle_beta 90.00
_cell_angle_gamma 90.00
loop_
_space_group_symop_operation_xyz
'x,y,z'
loop_
_atom_site_label
_atom_site_fract_x
_atom_site_fract_y
_atom_site_fract_z
K1 0.000 0.000 0.000
Tl1 0.500 0.500 0.000
Cd1 0.000 0.500 0.500
Cd2 0.500 0.000 0.500
Ga1 0.500 0.500 0.500
# Space-group type: P4/mmm

# KZnCd2Ga (PBE-GGA, relaxed)
data_KZnCd2Ga
_chemical_formula_sum 'K1 Zn1 Cd2 Ga1'
_space_group_name_H-M_alt 'P 1'
_space_group_IT_number 1
_cell_length_a 5.303
_cell_length_b 5.303
_cell_length_c 5.019
_cell_angle_alpha 90.00
_cell_angle_beta 90.00
_cell_angle_gamma 90.00
loop_
_space_group_symop_operation_xyz
'x,y,z'
loop_
_atom_site_label
_atom_site_fract_x
_atom_site_fract_y
_atom_site_fract_z
K1 0.000 0.000 0.000
Zn1 0.500 0.500 0.500
Cd1 0.000 0.500 0.500
Cd2 0.500 0.000 0.500
Ga1 0.500 0.500 0.000
# Space-group type: P4/mmm
# Energy relative to the lowest polymorph listed for this composition in meV/atom: 3

# KZnCd2Ga (PBE-GGA, relaxed)
data_KZnCd2Ga
_chemical_formula_sum 'K1 Zn1 Cd2 Ga1'
_space_group_name_H-M_alt 'P 1'
_space_group_IT_number 1
_cell_length_a 5.401
_cell_length_b 5.401
_cell_length_c 5.118
_cell_angle_alpha 90.00
_cell_angle_beta 90.00
_cell_angle_gamma 90.00
loop_
_space_group_symop_operation_xyz
'x,y,z'
loop_
_atom_site_label
_atom_site_fract_x
_atom_site_fract_y
_atom_site_fract_z
K1 0.000 0.000 0.000
Zn1 0.500 0.500 0.000
Cd1 0.000 0.500 0.500
Cd2 0.500 0.000 0.500
Ga1 0.500 0.500 0.500
# Space-group type: P4/mmm
# Energy relative to the lowest polymorph listed for this composition in meV/atom: 0

# La3CdGa (PBE-GGA, relaxed)
data_La3CdGa
_chemical_formula_sum 'La6 Cd2 Ga2'
_space_group_name_H-M_alt 'P 1'
_space_group_IT_number 1
_cell_length_a 10.275
_cell_length_b 10.275
_cell_length_c 5.520
_cell_angle_alpha 90.00
_cell_angle_beta 90.00
_cell_angle_gamma 148.90
loop_
_space_group_symop_operation_xyz
'x,y,z'
loop_
_atom_site_label
_atom_site_fract_x
_atom_site_fract_y
_atom_site_fract_z
La1 0.058 0.942 0.750
La2 0.247 0.753 0.750
La3 0.433 0.567 0.750
La4 0.567 0.433 0.250
La5 0.753 0.247 0.250
La6 0.942 0.058 0.250
Cd1 0.347 0.653 0.250
Cd2 0.653 0.347 0.750
Ga1 0.152 0.848 0.250
Ga2 0.848 0.152 0.750
# Space-group type: Cmcm
# Energy relative to the lowest polymorph listed for this composition in meV/atom: 12

# La2CdGa3 (PBE-GGA, relaxed)
data_La2CdGa3
_chemical_formula_sum 'La4 Cd2 Ga6'
_space_group_name_H-M_alt 'P 1'
_space_group_IT_number 1
_cell_length_a 9.225
_cell_length_b 8.947
_cell_length_c 6.123
_cell_angle_alpha 72.78
_cell_angle_beta 67.88
_cell_angle_gamma 39.35
loop_
_space_group_symop_operation_xyz
'x,y,z'
loop_
_atom_site_label
_atom_site_fract_x
_atom_site_fract_y
_atom_site_fract_z
La1 0.248 0.752 0.752
La2 0.250 0.250 0.250
La3 0.750 0.750 0.750
La4 0.752 0.248 0.248
Cd1 0.167 0.167 0.833
Cd2 0.833 0.833 0.167
Ga1 0.177 0.661 0.339
Ga2 0.338 0.338 0.662
Ga3 0.339 0.823 0.177
Ga4 0.661 0.177 0.823
Ga5 0.662 0.662 0.338
Ga6 0.823 0.339 0.661
# Space-group type: Fmmm
# Energy relative to the lowest polymorph listed for this composition in meV/atom: 13

# La3Cd9Ga2 (PBE-GGA, relaxed)
data_La3Cd9Ga2
_chemical_formula_sum 'La3 Cd9 Ga2'
_space_group_name_H-M_alt 'P 1'
_space_group_IT_number 1
_cell_length_a 8.940
_cell_length_b 8.940
_cell_length_c 8.940
_cell_angle_alpha 148.27
_cell_angle_beta 108.38
_cell_angle_gamma 80.45
loop_
_space_group_symop_operation_xyz
'x,y,z'
loop_
_atom_site_label
_atom_site_fract_x
_atom_site_fract_y
_atom_site_fract_z
La1 0.000 0.000 0.000
La2 0.307 0.307 0.000
La3 0.693 0.693 0.000
Cd1 0.018 0.652 0.366
Cd2 0.140 0.860 0.280
Cd3 0.287 0.652 0.634
Cd4 0.420 0.140 0.280
Cd5 0.500 0.000 0.500
Cd6 0.580 0.860 0.720
Cd7 0.713 0.348 0.366
Cd8 0.860 0.140 0.720
Cd9 0.982 0.348 0.634
Ga1 0.312 0.500 0.812
Ga2 0.688 0.500 0.188
# Space-group type: Immm

# La2Cd6Ga3 (PBE-GGA, relaxed)
data_La2Cd6Ga3
_chemical_formula_sum 'La2 Cd6 Ga3'
_space_group_name_H-M_alt 'P 1'
_space_group_IT_number 1
_cell_length_a 8.331
_cell_length_b 8.331
_cell_length_c 4.402
_cell_angle_alpha 90.00
_cell_angle_beta 90.00
_cell_angle_gamma 120.00
loop_
_space_group_symop_operation_xyz
'x,y,z'
loop_
_atom_site_label
_atom_site_fract_x
_atom_site_fract_y
_atom_site_fract_z
La1 0.333 0.667 0.000
La2 0.667 0.333 0.000
Cd1 0.000 0.293 0.500
Cd2 0.000 0.799 0.000
Cd3 0.201 0.201 0.000
Cd4 0.293 0.000 0.500
Cd5 0.707 0.707 0.500
Cd6 0.799 0.000 0.000
Ga1 0.000 0.613 0.500
Ga2 0.387 0.387 0.500
Ga3 0.613 0.000 0.500
# Space-group type: P-62m

# La5CdGa4 (PBE-GGA, relaxed)
data_La5CdGa4
_chemical_formula_sum 'La5 Cd1 Ga4'
_space_group_name_H-M_alt 'P 1'
_space_group_IT_number 1
_cell_length_a 3.766
_cell_length_b 3.766
_cell_length_c 19.395
_cell_angle_alpha 90.00
_cell_angle_beta 90.00
_cell_angle_gamma 90.00
loop_
_space_group_symop_operation_xyz
'x,y,z'
loop_
_atom_site_label
_atom_site_fract_x
_atom_site_fract_y
_atom_site_fract_z
La1 0.000 0.000 0.000
La2 0.000 0.000 0.195
La3 0.000 0.000 0.388
La4 0.000 0.000 0.612
La5 0.000 0.000 0.805
Cd1 0.500 0.500 0.500
Ga1 0.500 0.500 0.097
Ga2 0.500 0.500 0.295
Ga3 0.500 0.500 0.705
Ga4 0.500 0.500 0.903
# Space-group type: P4/mmm

# La6CdGa (PBE-GGA, relaxed)
data_La6CdGa
_chemical_formula_sum 'La6 Cd1 Ga1'
_space_group_name_H-M_alt 'P 1'
_space_group_IT_number 1
_cell_length_a 6.389
_cell_length_b 6.405
_cell_length_c 6.412
_cell_angle_alpha 93.93
_cell_angle_beta 94.03
_cell_angle_gamma 93.90
loop_
_space_group_symop_operation_xyz
'x,y,z'
loop_
_atom_site_label
_atom_site_fract_x
_atom_site_fract_y
_atom_site_fract_z
La1 0.033 0.063 0.256
La2 0.243 0.467 0.937
La3 0.438 0.743 0.466
La4 0.562 0.257 0.534
La5 0.757 0.533 0.063
La6 0.967 0.937 0.744
Cd1 0.500 0.000 0.000
Ga1 0.000 0.500 0.500
# Space-group type: P-1
# Energy relative to the lowest polymorph listed for this composition in meV/atom: 52

# La2Cd3Ga (PBE-GGA, relaxed)
data_La2Cd3Ga
_chemical_formula_sum 'La4 Cd6 Ga2'
_space_group_name_H-M_alt 'P 1'
_space_group_IT_number 1
_cell_length_a 4.162
_cell_length_b 4.765
_cell_length_c 17.010
_cell_angle_alpha 90.00
_cell_angle_beta 90.00
_cell_angle_gamma 90.00
loop_
_space_group_symop_operation_xyz
'x,y,z'
loop_
_atom_site_label
_atom_site_fract_x
_atom_site_fract_y
_atom_site_fract_z
La1 0.000 0.000 0.000
La2 0.000 0.500 0.274
La3 0.500 0.000 0.774
La4 0.500 0.500 0.500
Cd1 0.000 0.000 0.596
Cd2 0.000 0.500 0.680
Cd3 0.000 0.500 0.845
Cd4 0.500 0.000 0.180
Cd5 0.500 0.000 0.345
Cd6 0.500 0.500 0.096
Ga1 0.000 0.000 0.438
Ga2 0.500 0.500 0.938
# Space-group type: Imm2
# Energy relative to the lowest polymorph listed for this composition in meV/atom: 78

# La3CdGa (PBE-GGA, relaxed)
data_La3CdGa
_chemical_formula_sum 'La3 Cd1 Ga1'
_space_group_name_H-M_alt 'P 1'
_space_group_IT_number 1
_cell_length_a 6.112
_cell_length_b 6.112
_cell_length_c 6.112
_cell_angle_alpha 90.00
_cell_angle_beta 90.00
_cell_angle_gamma 90.00
loop_
_space_group_symop_operation_xyz
'x,y,z'
loop_
_atom_site_label
_atom_site_fract_x
_atom_site_fract_y
_atom_site_fract_z
La1 0.000 0.000 0.500
La2 0.000 0.500 0.000
La3 0.500 0.000 0.000
Cd1 0.000 0.000 0.000
Ga1 0.500 0.500 0.500
# Space-group type: Pm-3m
# Energy relative to the lowest polymorph listed for this composition in meV/atom: 803

# La2Cd3Ga (PBE-GGA, relaxed)
data_La2Cd3Ga
_chemical_formula_sum 'La2 Cd3 Ga1'
_space_group_name_H-M_alt 'P 1'
_space_group_IT_number 1
_cell_length_a 3.731
_cell_length_b 4.967
_cell_length_c 8.588
_cell_angle_alpha 90.00
_cell_angle_beta 90.00
_cell_angle_gamma 90.00
loop_
_space_group_symop_operation_xyz
'x,y,z'
loop_
_atom_site_label
_atom_site_fract_x
_atom_site_fract_y
_atom_site_fract_z
La1 0.000 0.000 0.000
La2 0.000 0.500 0.475
Cd1 0.500 0.000 0.651
Cd2 0.500 0.500 0.155
Cd3 0.500 0.500 0.817
Ga1 0.500 0.000 0.324
# Space-group type: Pmm2
# Energy relative to the lowest polymorph listed for this composition in meV/atom: 0

| no. | ΔH_f (0 K) (meV per atom) | M_tot (μB per atom) |
| --- | --- | --- |
| 1 | 53 | 0.000 |
| 2 | 83 | 0.000 |
| 3 | 80 | 0.000 |
| 4 | -337 | 0.000 |
| 5 | -568 | 0.000 |
| 6 | -306 | 0.000 |
| 7 | -322 | 0.000 |
| 8 | -524 | 0.000 |
| 9 | -159 | 0.000 |
| 10 | -341 | 0.074 |
| 11 | 454 | 0.259 |
| 12 | -419 | 0.012 |